{
  "formula": "Rb2TlCuF6",
  "functional": "PBE",
  "state": "relaxed",
  "space_group": "No. 148",
  "cell": [[-5.585, -1.543, -1.596], [-2.731, -4.638, 2.675], [-4.588, 0.959, 3.762]],
  "species": ["Cu", "F", "F", "F", "F", "F", "F", "Rb", "Rb", "Tl"],
  "fractional_positions": [[0.000, 0.000, 0.000], [0.237, 0.765, 0.235], [0.765, 0.763, 0.235], [0.765, 0.235, 0.237], [0.235, 0.765, 0.763], [0.235, 0.237, 0.765], [0.763, 0.235, 0.765], [0.250, 0.250, 0.250], [0.750, 0.750, 0.750], [0.500, 0.500, 0.500]]
}

---

{
  "formula": "TaNiSbPt",
  "functional": "PBE",
  "state": "relaxed",
  "space_group": "No. 216",
  "cell": [[0.000, 3.216, 3.216], [3.216, 0.000, 3.216], [3.216, 3.216, 0.000]],
  "species": ["Ni", "Pt", "Sb", "Ta"],
  "fractional_positions": [[0.750, 0.750, 0.750], [0.500, 0.500, 0.500], [0.000, 0.000, 0.000], [0.250, 0.250, 0.250]]
}

---

{
  "formula": "LiNbGe",
  "functional": "PBE",
  "state": "relaxed",
  "space_group": "No. 216",
  "cell": [[0.000, 3.047, 3.047], [3.047, 0.000, 3.047], [3.047, 3.047, 0.000]],
  "species": ["Ge", "Li", "Nb"],
  "fractional_positions": [[0.250, 0.250, 0.250], [0.750, 0.750, 0.750], [0.000, 0.000, 0.000]]
}

---

{
  "formula": "AsAu15",
  "functional": "PBE",
  "state": "relaxed",
  "space_group": "No. 6",
  "cell": [[-1.521, 3.871, -3.957], [-0.142, -2.086, -1.986], [-41.055, -6.353, 9.608]],
  "species": ["As", "As", "Au", "Au", "Au", "Au", "Au", "Au", "Au", "Au", "Au", "Au", "Au", "Au", "Au", "Au", "Au", "Au", "Au", "Au", "Au", "Au", "Au", "Au", "Au", "Au", "Au", "Au", "Au", "Au", "Au", "Au"],
  "fractional_positions": [[0.134, 0.500, 0.124], [0.867, 0.000, 0.876], [0.624, 0.500, 0.123], [0.878, 0.000, 0.173], [0.371, 0.000, 0.174], [0.624, 0.500, 0.223], [0.123, 0.500, 0.225], [0.375, 0.000, 0.274], [0.873, 0.000, 0.274], [0.124, 0.500, 0.325], [0.625, 0.500, 0.325], [0.875, 0.000, 0.375], [0.375, 0.000, 0.375], [0.125, 0.500, 0.425], [0.625, 0.500, 0.425], [0.875, 0.000, 0.475], [0.375, 0.000, 0.475], [0.625, 0.500, 0.525], [0.125, 0.500, 0.525], [0.375, 0.000, 0.575], [0.875, 0.000, 0.575], [0.625, 0.500, 0.625], [0.125, 0.500, 0.625], [0.375, 0.000, 0.675], [0.876, 0.000, 0.675], [0.127, 0.500, 0.726], [0.625, 0.500, 0.726], [0.877, 0.000, 0.775], [0.376, 0.000, 0.777], [0.629, 0.500, 0.826], [0.122, 0.500, 0.827], [0.376, 0.000, 0.877]]
}

---

{
  "formula": "TlNiBiS3",
  "functional": "PBE",
  "state": "relaxed",
  "space_group": "No. 63",
  "cell": [[-5.609, 4.479, -1.085], [3.186, -6.357, -1.460], [-5.255, -4.555, 8.364]],
  "species": ["Bi", "Bi", "Ni", "Ni", "S", "S", "S", "S", "S", "S", "Tl", "Tl"],
  "fractional_positions": [[0.000, 0.000, 0.000], [0.000, 0.000, 0.500], [0.475, 0.525, 0.250], [0.525, 0.475, 0.750], [0.373, 0.627, 0.084], [0.058, 0.942, 0.250], [0.373, 0.627, 0.416], [0.627, 0.373, 0.584], [0.942, 0.058, 0.750], [0.627, 0.373, 0.916], [0.749, 0.251, 0.250], [0.251, 0.749, 0.750]]
}

---

{
  "formula": "K2Nd",
  "functional": "PBE",
  "state": "relaxed",
  "space_group": "No. 227",
  "cell": [[6.301, 3.638, 10.289], [-6.301, 3.638, 10.289], [0.000, -7.275, 10.289]],
  "species": ["K", "K", "K", "K", "Nd", "Nd"],
  "fractional_positions": [[0.375, 0.375, 0.375], [0.875, 0.375, 0.375], [0.375, 0.875, 0.375], [0.375, 0.375, 0.875], [0.250, 0.250, 0.250], [0.500, 0.500, 0.500]]
}

---

no.,electronic total energy (eV/atom)
1,-4.01
2,-6.98
3,-5.07
4,-3.28
5,-4.30
6,-0.57